Density functional theory data (PBE-GGA) for an optimized crystal structure of Sr2Zn2As3.

Unit cell a=16.372 b=4.324 c=12.079 alpha=90.00 beta=126.41 gamma=90.00
Space group C2/m (No. 12)
Asymmetric unit:
Sr  0.106  0.000  0.449
Sr  0.234  0.000  0.837
Zn  0.039  0.500  0.812
Zn  0.089  0.000  0.151
As  0.076  0.500  0.625
As  0.110  0.000  0.957
As  0.152  0.500  0.296

Its crystal system is monoclinic. The formation enthalpy at 0 K is -0.79 eV/atom.

***

Density functional theory data (PBE-GGA) for an optimized crystal structure of Na3GeAu.

Unit cell a=9.974 b=9.290 c=7.162 alpha=90.00 beta=125.26 gamma=90.00
Space group C2/m (No. 12)
Asymmetric unit:
Na  0.047  0.000  0.321
Na  0.211  0.296  0.744
Ge  0.079  0.500  0.326
Au  0.187  0.500  0.077

Its crystal system is monoclinic. The formation enthalpy at 0 K is -0.11 eV/atom. The value obtained for the energy above the most stable polymorph in this dataset is 129 meV/atom.

***

Density functional theory data (PBE-GGA) for an optimized crystal structure of Tb5Sm4Y3.

Unit cell a=16.180 b=5.922 c=9.392 alpha=90.00 beta=116.67 gamma=90.00
Space group C2/m (No. 12)
Asymmetric unit:
Tb  0.000  0.000  0.000
Tb  0.072  0.500  0.701
Tb  0.172  0.500  0.387
Sm  0.083  0.000  0.445
Sm  0.215  0.000  0.880
Y  0.000  0.500  0.000
Y  0.210  0.000  0.232

Its crystal system is monoclinic. The formation enthalpy at 0 K is 0.23 eV/atom. The value obtained for the energy above the most stable polymorph in this dataset is 218 meV/atom.

***

Density functional theory data (PBE-GGA) for an optimized crystal structure of Hf8Ge3Sb2.

Unit cell a=15.121 b=6.883 c=5.527 alpha=90.00 beta=91.03 gamma=90.00
Space group C2/m (No. 12)
Asymmetric unit:
Hf  0.094  0.000  0.406
Hf  0.111  0.216  0.895
Hf  0.174  0.500  0.358
Ge  0.000  0.320  0.500
Ge  0.000  0.500  0.000
Sb  0.249  0.500  0.841

For the raw formation energy, the calculation gives -1.74 eV/f.u. Its crystal system is monoclinic.

***

Density functional theory data (PBE-GGA) for an optimized crystal structure of Ac2GdEr.

Unit cell a=5.435 b=5.435 c=5.107 alpha=90.00 beta=90.00 gamma=90.00
Space group P4/mmm (No. 123)
Asymmetric unit:
Ac  0.000  0.500  0.000
Gd  0.000  0.000  0.500
Er  0.500  0.500  0.500

Its crystal system is tetragonal. The formation enthalpy at 0 K is 0.05 eV/atom.

***

Density functional theory data (PBE-GGA) for an optimized crystal structure of DyScIn6.

Unit cell a=4.584 b=4.584 c=9.151 alpha=90.00 beta=90.00 gamma=90.00
Space group P4/mmm (No. 123)
Asymmetric unit:
Dy  0.000  0.000  0.000
Sc  0.000  0.000  0.500
In  0.000  0.500  0.257
In  0.500  0.500  0.000
In  0.500  0.500  0.500

Its crystal system is tetragonal. The formation enthalpy at 0 K is -0.36 eV/atom.

***

Density functional theory data (PBE-GGA) for an optimized crystal structure of Tm2ZnSn.

Unit cell a=4.842 b=4.842 c=4.064 alpha=90.00 beta=90.00 gamma=90.00
Space group P4/mmm (No. 123)
Asymmetric unit:
Tm  0.000  0.500  0.000
Zn  0.000  0.000  0.500
Sn  0.500  0.500  0.500

Its crystal system is tetragonal. The formation enthalpy at 0 K is -0.46 eV/atom.

***

Density functional theory data (PBE-GGA) for an optimized crystal structure of Ba2TmNpS6.

Unit cell a=7.188 b=7.393 c=12.551 alpha=90.00 beta=124.95 gamma=90.00
Space group P2_1/c (No. 14)
Asymmetric unit:
Ba  0.237  0.056  0.251
Tm  0.500  0.000  0.000
Np  0.000  0.000  0.500
S  0.162  0.211  0.959
S  0.249  0.704  0.960
S  0.323  0.015  0.746

For the raw formation energy, the calculation gives -17.95 eV/f.u. Its crystal system is monoclinic.

***

Density functional theory data (PBE-GGA) for an optimized crystal structure of Tb5TcAg2.

Unit cell a=6.765 b=12.116 c=4.993 alpha=90.00 beta=90.00 gamma=90.00
Space group Pbam (No. 55)
Asymmetric unit:
Tb  0.000  0.000  0.000
Tb  0.141  0.288  0.000
Tb  0.169  0.595  0.500
Tc  0.000  0.500  0.000
Ag  0.110  0.853  0.500

Its crystal system is orthorhombic. The formation enthalpy at 0 K is -0.16 eV/atom.

***

Density functional theory data (PBE-GGA) for an optimized crystal structure of BeAg2W.

Unit cell a=3.100 b=4.429 c=8.820 alpha=90.00 beta=90.00 gamma=90.00
Space group Cmmm (No. 65)
Asymmetric unit:
Be  0.000  0.000  0.000
Ag  0.000  0.500  0.219
W  0.000  0.000  0.500

Its crystal system is orthorhombic. The formation enthalpy at 0 K is 0.51 eV/atom.

***

Density functional theory data (PBE-GGA) for an optimized crystal structure of Cs2TlCd.

Unit cell a=12.984 b=7.262 c=5.270 alpha=90.00 beta=113.49 gamma=90.00
Space group C2 (No. 5)
Asymmetric unit:
Cs  0.184  0.000  0.184
Tl  0.000  0.487  0.000
Cd  0.000  0.661  0.500

Its crystal system is monoclinic. The formation enthalpy at 0 K is -0.02 eV/atom. The value obtained for the energy above the most stable polymorph in this dataset is 0 meV/atom.

***

Density functional theory data (PBE-GGA) for an optimized crystal structure of SrCa2Mo.

Unit cell a=3.746 b=3.746 c=9.794 alpha=90.00 beta=90.00 gamma=90.00
Space group P4/mmm (No. 123)
Asymmetric unit:
Sr  0.000  0.000  0.000
Ca  0.500  0.500  0.319
Mo  0.000  0.000  0.500

Its crystal system is tetragonal. The formation enthalpy at 0 K is 0.63 eV/atom. The value obtained for the energy above the most stable polymorph in this dataset is 0 meV/atom.

***

Table of total energy (eV/cell), in record order: -101.6 -49.6 -117.2 -206.9 -26.7 -30.2 -16.1 -127.9 -80.9 -40.7 -10.2 -14.0